# HfB3Sb, relaxed, DFT GGA-PBE
# Distance to the lowest polymorph of the same formula, meV/atom: 325
data_HfB3Sb
_chemical_formula_sum 'Hf1 B3 Sb1'
_symmetry_space_group_name_H-M 'P 1'
_symmetry_Int_Tables_number 1
_cell_length_a 4.346
_cell_length_b 4.346
_cell_length_c 4.346
_cell_angle_alpha 90.00
_cell_angle_beta 90.00
_cell_angle_gamma 90.00
loop_
_symmetry_equiv_pos_as_xyz
'x,y,z'
loop_
_atom_site_label
_atom_site_type_symbol
_atom_site_fract_x
_atom_site_fract_y
_atom_site_fract_z
_atom_site_occupancy
Hf1 Hf 0.500 0.500 0.500 1
B1 B 0.500 0.000 0.000 1
Sb1 Sb 0.000 0.000 0.000 1
B2 B 0.000 0.000 0.500 1
B3 B 0.000 0.500 0.000 1

***

# Hf5BSb2, relaxed, DFT GGA-PBE
# Uncorrected energy, eV per atom: -8.06
data_Hf5BSb2
_chemical_formula_sum 'Hf10 B2 Sb4'
_symmetry_space_group_name_H-M 'P 1'
_symmetry_Int_Tables_number 1
_cell_length_a 4.634
_cell_length_b 7.616
_cell_length_c 12.017
_cell_angle_alpha 90.00
_cell_angle_beta 90.00
_cell_angle_gamma 107.71
loop_
_symmetry_equiv_pos_as_xyz
'x,y,z'
loop_
_atom_site_label
_atom_site_type_symbol
_atom_site_fract_x
_atom_site_fract_y
_atom_site_fract_z
_atom_site_occupancy
Sb1 Sb 0.093 0.185 0.622 1
Hf1 Hf 0.730 0.460 0.250 1
Hf2 Hf 0.270 0.540 0.750 1
B1 B 0.775 0.550 0.750 1
Sb2 Sb 0.907 0.815 0.378 1
Sb3 Sb 0.093 0.185 0.878 1
Hf3 Hf 0.696 0.393 0.556 1
Hf4 Hf 0.891 0.782 0.622 1
Sb4 Sb 0.907 0.815 0.122 1
Hf5 Hf 0.696 0.393 0.944 1
Hf6 Hf 0.891 0.782 0.878 1
Hf7 Hf 0.109 0.218 0.378 1
Hf8 Hf 0.109 0.218 0.122 1
B2 B 0.225 0.450 0.250 1
Hf9 Hf 0.304 0.607 0.056 1
Hf10 Hf 0.304 0.607 0.444 1

***

# Hf4BSb, relaxed, DFT GGA-PBE
# Uncorrected energy, eV per atom: -8.78
data_Hf4BSb
_chemical_formula_sum 'Hf8 B2 Sb2'
_symmetry_space_group_name_H-M 'P 1'
_symmetry_Int_Tables_number 1
_cell_length_a 5.503
_cell_length_b 6.557
_cell_length_c 7.407
_cell_angle_alpha 103.75
_cell_angle_beta 111.81
_cell_angle_gamma 90.00
loop_
_symmetry_equiv_pos_as_xyz
'x,y,z'
loop_
_atom_site_label
_atom_site_type_symbol
_atom_site_fract_x
_atom_site_fract_y
_atom_site_fract_z
_atom_site_occupancy
Hf1 Hf 0.104 0.659 0.380 1
Sb1 Sb 0.111 0.750 0.000 1
Hf2 Hf 0.896 0.341 0.620 1
B1 B 0.000 0.000 0.500 1
Hf3 Hf 0.498 0.554 0.814 1
Hf4 Hf 0.724 0.841 0.620 1
Hf5 Hf 0.684 0.946 0.186 1
Hf6 Hf 0.316 0.054 0.814 1
B2 B 0.500 0.500 0.500 1
Sb2 Sb 0.889 0.250 0.000 1
Hf7 Hf 0.502 0.446 0.186 1
Hf8 Hf 0.276 0.159 0.380 1

***

# HfB3Sb, relaxed, DFT GGA-PBE
# Distance to the lowest polymorph of the same formula, meV/atom: 0
data_HfB3Sb
_chemical_formula_sum 'Hf1 B3 Sb1'
_symmetry_space_group_name_H-M 'P 1'
_symmetry_Int_Tables_number 1
_cell_length_a 4.448
_cell_length_b 4.448
_cell_length_c 4.448
_cell_angle_alpha 90.00
_cell_angle_beta 90.00
_cell_angle_gamma 90.00
loop_
_symmetry_equiv_pos_as_xyz
'x,y,z'
loop_
_atom_site_label
_atom_site_type_symbol
_atom_site_fract_x
_atom_site_fract_y
_atom_site_fract_z
_atom_site_occupancy
Sb1 Sb 0.500 0.500 0.500 1
Hf1 Hf 0.000 0.000 0.000 1
B1 B 0.500 0.000 0.000 1
B2 B 0.000 0.000 0.500 1
B3 B 0.000 0.500 0.000 1

***

# HfBSb3, relaxed, DFT GGA-PBE
# Distance to the lowest polymorph of the same formula, meV/atom: 0
data_HfBSb3
_chemical_formula_sum 'Hf1 B1 Sb3'
_symmetry_space_group_name_H-M 'P 1'
_symmetry_Int_Tables_number 1
_cell_length_a 4.801
_cell_length_b 4.801
_cell_length_c 4.801
_cell_angle_alpha 90.00
_cell_angle_beta 90.00
_cell_angle_gamma 90.00
loop_
_symmetry_equiv_pos_as_xyz
'x,y,z'
loop_
_atom_site_label
_atom_site_type_symbol
_atom_site_fract_x
_atom_site_fract_y
_atom_site_fract_z
_atom_site_occupancy
B1 B 0.000 0.000 0.000 1
Sb1 Sb 0.000 0.500 0.000 1
Hf1 Hf 0.500 0.500 0.500 1
Sb2 Sb 0.000 0.000 0.500 1
Sb3 Sb 0.500 0.000 0.000 1

***

# HfBSb3, relaxed, DFT GGA-PBE
# Distance to the lowest polymorph of the same formula, meV/atom: 494
data_HfBSb3
_chemical_formula_sum 'Hf1 B1 Sb3'
_symmetry_space_group_name_H-M 'P 1'
_symmetry_Int_Tables_number 1
_cell_length_a 5.488
_cell_length_b 5.488
_cell_length_c 5.488
_cell_angle_alpha 90.00
_cell_angle_beta 90.00
_cell_angle_gamma 90.00
loop_
_symmetry_equiv_pos_as_xyz
'x,y,z'
loop_
_atom_site_label
_atom_site_type_symbol
_atom_site_fract_x
_atom_site_fract_y
_atom_site_fract_z
_atom_site_occupancy
Sb1 Sb 0.000 0.500 0.000 1
Sb2 Sb 0.500 0.000 0.000 1
B1 B 0.500 0.500 0.500 1
Hf1 Hf 0.000 0.000 0.000 1
Sb3 Sb 0.000 0.000 0.500 1

***

# HfBSb, relaxed, DFT GGA-PBE
# Uncorrected energy, eV per atom: -7.00
data_HfBSb
_chemical_formula_sum 'Hf2 B2 Sb2'
_symmetry_space_group_name_H-M 'P 1'
_symmetry_Int_Tables_number 1
_cell_length_a 3.524
_cell_length_b 3.743
_cell_length_c 10.274
_cell_angle_alpha 88.77
_cell_angle_beta 80.13
_cell_angle_gamma 61.92
loop_
_symmetry_equiv_pos_as_xyz
'x,y,z'
loop_
_atom_site_label
_atom_site_type_symbol
_atom_site_fract_x
_atom_site_fract_y
_atom_site_fract_z
_atom_site_occupancy
Hf1 Hf 0.836 0.982 0.346 1
B1 B 0.548 0.348 0.556 1
Hf2 Hf 0.164 0.018 0.654 1
Sb1 Sb 0.293 0.288 0.127 1
Sb2 Sb 0.707 0.712 0.873 1
B2 B 0.452 0.652 0.444 1

***

# HfSiB2Sb, relaxed, DFT GGA-PBE
# Uncorrected energy, eV per atom: -5.07
data_HfSiB2Sb
_chemical_formula_sum 'Hf1 Si1 B2 Sb1'
_symmetry_space_group_name_H-M 'P 1'
_symmetry_Int_Tables_number 1
_cell_length_a 4.463
_cell_length_b 5.542
_cell_length_c 4.463
_cell_angle_alpha 90.00
_cell_angle_beta 90.00
_cell_angle_gamma 90.00
loop_
_symmetry_equiv_pos_as_xyz
'x,y,z'
loop_
_atom_site_label
_atom_site_type_symbol
_atom_site_fract_x
_atom_site_fract_y
_atom_site_fract_z
_atom_site_occupancy
B1 B 0.500 0.000 0.000 1
B2 B 0.000 0.000 0.500 1
Hf1 Hf 0.000 0.000 0.000 1
Si1 Si 0.500 0.500 0.500 1
Sb1 Sb 0.000 0.500 0.000 1

***

# SrHfB2Sb, relaxed, DFT GGA-PBE
# Uncorrected energy, eV per atom: -4.47
data_SrHfB2Sb
_chemical_formula_sum 'Sr1 Hf1 B2 Sb1'
_symmetry_space_group_name_H-M 'P 1'
_symmetry_Int_Tables_number 1
_cell_length_a 4.604
_cell_length_b 4.604
_cell_length_c 6.135
_cell_angle_alpha 90.00
_cell_angle_beta 90.00
_cell_angle_gamma 90.00
loop_
_symmetry_equiv_pos_as_xyz
'x,y,z'
loop_
_atom_site_label
_atom_site_type_symbol
_atom_site_fract_x
_atom_site_fract_y
_atom_site_fract_z
_atom_site_occupancy
Sb1 Sb 0.500 0.500 0.500 1
B1 B 0.000 0.500 0.000 1
B2 B 0.500 0.000 0.000 1
Sr1 Sr 0.000 0.000 0.500 1
Hf1 Hf 0.000 0.000 0.000 1

***

# HfTcBSb2, relaxed, DFT GGA-PBE
# Uncorrected energy, eV per atom: -6.36
data_HfTcBSb2
_chemical_formula_sum 'Hf1 Tc1 B1 Sb2'
_symmetry_space_group_name_H-M 'P 1'
_symmetry_Int_Tables_number 1
_cell_length_a 5.254
_cell_length_b 3.920
_cell_length_c 5.254
_cell_angle_alpha 90.00
_cell_angle_beta 90.00
_cell_angle_gamma 90.00
loop_
_symmetry_equiv_pos_as_xyz
'x,y,z'
loop_
_atom_site_label
_atom_site_type_symbol
_atom_site_fract_x
_atom_site_fract_y
_atom_site_fract_z
_atom_site_occupancy
Sb1 Sb 0.000 0.000 0.500 1
Hf1 Hf 0.500 0.500 0.500 1
Tc1 Tc 0.000 0.000 0.000 1
Sb2 Sb 0.500 0.000 0.000 1
B1 B 0.000 0.500 0.000 1

***

# HfBSbTe2, relaxed, DFT GGA-PBE
# Distance to the lowest polymorph of the same formula, meV/atom: 372
data_HfBSbTe2
_chemical_formula_sum 'Hf1 B1 Sb1 Te2'
_symmetry_space_group_name_H-M 'P 1'
_symmetry_Int_Tables_number 1
_cell_length_a 5.522
_cell_length_b 5.522
_cell_length_c 5.566
_cell_angle_alpha 90.00
_cell_angle_beta 90.00
_cell_angle_gamma 90.00
loop_
_symmetry_equiv_pos_as_xyz
'x,y,z'
loop_
_atom_site_label
_atom_site_type_symbol
_atom_site_fract_x
_atom_site_fract_y
_atom_site_fract_z
_atom_site_occupancy
Te1 Te 0.500 0.000 0.000 1
Sb1 Sb 0.000 0.000 0.500 1
Te2 Te 0.000 0.500 0.000 1
Hf1 Hf 0.000 0.000 0.000 1
B1 B 0.500 0.500 0.500 1

***

# HfBSbTe2, relaxed, DFT GGA-PBE
# Distance to the lowest polymorph of the same formula, meV/atom: 0
data_HfBSbTe2
_chemical_formula_sum 'Hf1 B1 Sb1 Te2'
_symmetry_space_group_name_H-M 'P 1'
_symmetry_Int_Tables_number 1
_cell_length_a 4.828
_cell_length_b 4.828
_cell_length_c 4.798
_cell_angle_alpha 90.00
_cell_angle_beta 90.00
_cell_angle_gamma 90.00
loop_
_symmetry_equiv_pos_as_xyz
'x,y,z'
loop_
_atom_site_label
_atom_site_type_symbol
_atom_site_fract_x
_atom_site_fract_y
_atom_site_fract_z
_atom_site_occupancy
B1 B 0.000 0.000 0.000 1
Hf1 Hf 0.500 0.500 0.500 1
Te1 Te 0.000 0.500 0.000 1
Te2 Te 0.500 0.000 0.000 1
Sb1 Sb 0.000 0.000 0.500 1

***

# YHf2BSb, relaxed, DFT GGA-PBE
# Uncorrected energy, eV per atom: -6.32
data_YHf2BSb
_chemical_formula_sum 'Y1 Hf2 B1 Sb1'
_symmetry_space_group_name_H-M 'P 1'
_symmetry_Int_Tables_number 1
_cell_length_a 5.437
_cell_length_b 4.391
_cell_length_c 5.437
_cell_angle_alpha 90.00
_cell_angle_beta 90.00
_cell_angle_gamma 90.00
loop_
_symmetry_equiv_pos_as_xyz
'x,y,z'
loop_
_atom_site_label
_atom_site_type_symbol
_atom_site_fract_x
_atom_site_fract_y
_atom_site_fract_z
_atom_site_occupancy
Y1 Y 0.500 0.500 0.500 1
Hf1 Hf 0.000 0.000 0.500 1
Sb1 Sb 0.000 0.000 0.000 1
Hf2 Hf 0.500 0.000 0.000 1
B1 B 0.000 0.500 0.000 1

***

# HfZnBSb2, relaxed, DFT GGA-PBE
# Uncorrected energy, eV per atom: -3.72
data_HfZnBSb2
_chemical_formula_sum 'Hf1 Zn1 B1 Sb2'
_symmetry_space_group_name_H-M 'P 1'
_symmetry_Int_Tables_number 1
_cell_length_a 4.996
_cell_length_b 5.107
_cell_length_c 4.996
_cell_angle_alpha 90.00
_cell_angle_beta 90.00
_cell_angle_gamma 90.00
loop_
_symmetry_equiv_pos_as_xyz
'x,y,z'
loop_
_atom_site_label
_atom_site_type_symbol
_atom_site_fract_x
_atom_site_fract_y
_atom_site_fract_z
_atom_site_occupancy
Sb1 Sb 0.500 0.000 0.000 1
B1 B 0.500 0.500 0.500 1
Hf1 Hf 0.000 0.500 0.000 1
Sb2 Sb 0.000 0.000 0.500 1
Zn1 Zn 0.000 0.000 0.000 1

***

# HfSc2B, relaxed, DFT GGA-PBE
# Energy of formation from the pure elements, meV per atom: 252
data_HfSc2B
_chemical_formula_sum 'Hf2 Sc4 B2'
_symmetry_space_group_name_H-M 'P 1'
_symmetry_Int_Tables_number 1
_cell_length_a 7.717
_cell_length_b 7.717
_cell_length_c 6.029
_cell_angle_alpha 50.21
_cell_angle_beta 50.21
_cell_angle_gamma 90.00
loop_
_symmetry_equiv_pos_as_xyz
'x,y,z'
loop_
_atom_site_label
_atom_site_type_symbol
_atom_site_fract_x
_atom_site_fract_y
_atom_site_fract_z
_atom_site_occupancy
Sc1 Sc 0.542 0.125 0.250 1
Sc2 Sc 0.208 0.625 0.250 1
Sc3 Sc 0.375 0.458 0.750 1
B1 B 0.500 0.500 0.000 1
Sc4 Sc 0.875 0.792 0.750 1
Hf1 Hf 0.000 0.000 0.000 1
Hf2 Hf 0.750 0.250 0.500 1
B2 B 0.250 0.750 0.500 1

***

# HfScB2, relaxed, DFT GGA-PBE
# Energy of formation from the pure elements, meV per atom: 209
# Distance to the lowest polymorph of the same formula, meV/atom: 107
data_HfScB2
_chemical_formula_sum 'Hf2 Sc2 B4'
_symmetry_space_group_name_H-M 'P 1'
_symmetry_Int_Tables_number 1
_cell_length_a 6.261
_cell_length_b 6.261
_cell_length_c 5.384
_cell_angle_alpha 54.45
_cell_angle_beta 54.45
_cell_angle_gamma 90.00
loop_
_symmetry_equiv_pos_as_xyz
'x,y,z'
loop_
_atom_site_label
_atom_site_type_symbol
_atom_site_fract_x
_atom_site_fract_y
_atom_site_fract_z
_atom_site_occupancy
Hf1 Hf 0.000 0.000 0.000 1
B1 B 0.875 0.877 0.750 1
B2 B 0.375 0.373 0.750 1
B3 B 0.627 0.125 0.250 1
B4 B 0.123 0.625 0.250 1
Hf2 Hf 0.750 0.250 0.500 1
Sc1 Sc 0.250 0.750 0.500 1
Sc2 Sc 0.500 0.500 0.000 1

***

# HfSc3B, relaxed, DFT GGA-PBE
# Energy of formation from the pure elements, meV per atom: 133
# Distance to the lowest polymorph of the same formula, meV/atom: 0
data_HfSc3B
_chemical_formula_sum 'Hf1 Sc3 B1'
_symmetry_space_group_name_H-M 'P 1'
_symmetry_Int_Tables_number 1
_cell_length_a 4.723
_cell_length_b 4.723
_cell_length_c 4.723
_cell_angle_alpha 90.00
_cell_angle_beta 90.00
_cell_angle_gamma 90.00
loop_
_symmetry_equiv_pos_as_xyz
'x,y,z'
loop_
_atom_site_label
_atom_site_type_symbol
_atom_site_fract_x
_atom_site_fract_y
_atom_site_fract_z
_atom_site_occupancy
Sc1 Sc 0.000 0.500 0.000 1
Sc2 Sc 0.500 0.000 0.000 1
Sc3 Sc 0.000 0.000 0.500 1
Hf1 Hf 0.500 0.500 0.500 1
B1 B 0.000 0.000 0.000 1

***

# HfSc2B6, relaxed, DFT GGA-PBE
# Energy of formation from the pure elements, meV per atom: -911
data_HfSc2B6
_chemical_formula_sum 'Hf1 Sc2 B6'
_symmetry_space_group_name_H-M 'P 1'
_symmetry_Int_Tables_number 1
_cell_length_a 3.507
_cell_length_b 5.447
_cell_length_c 5.447
_cell_angle_alpha 120.00
_cell_angle_beta 90.00
_cell_angle_gamma 90.00
loop_
_symmetry_equiv_pos_as_xyz
'x,y,z'
loop_
_atom_site_label
_atom_site_type_symbol
_atom_site_fract_x
_atom_site_fract_y
_atom_site_fract_z
_atom_site_occupancy
B1 B 0.500 0.333 0.333 1
Hf1 Hf 0.000 0.000 0.000 1
B2 B 0.500 0.000 0.667 1
Sc1 Sc 0.000 0.333 0.667 1
B3 B 0.500 0.667 0.000 1
Sc2 Sc 0.000 0.667 0.333 1
B4 B 0.500 0.000 0.333 1
B5 B 0.500 0.333 0.000 1
B6 B 0.500 0.667 0.667 1

***

# Hf3ScB, relaxed, DFT GGA-PBE
# Energy of formation from the pure elements, meV per atom: 2121
# Distance to the lowest polymorph of the same formula, meV/atom: 2182
data_Hf3ScB
_chemical_formula_sum 'Hf3 Sc1 B1'
_symmetry_space_group_name_H-M 'P 1'
_symmetry_Int_Tables_number 1
_cell_length_a 4.897
_cell_length_b 4.897
_cell_length_c 4.897
_cell_angle_alpha 90.00
_cell_angle_beta 90.00
_cell_angle_gamma 90.00
loop_
_symmetry_equiv_pos_as_xyz
'x,y,z'
loop_
_atom_site_label
_atom_site_type_symbol
_atom_site_fract_x
_atom_site_fract_y
_atom_site_fract_z
_atom_site_occupancy
Hf1 Hf 0.500 0.000 0.000 1
Sc1 Sc 0.000 0.000 0.000 1
B1 B 0.500 0.500 0.500 1
Hf2 Hf 0.000 0.500 0.000 1
Hf3 Hf 0.000 0.000 0.500 1

***

# HfSc2B, relaxed, DFT GGA-PBE
# Energy of formation from the pure elements, meV per atom: 850
data_HfSc2B
_chemical_formula_sum 'Hf1 Sc2 B1'
_symmetry_space_group_name_H-M 'P 1'
_symmetry_Int_Tables_number 1
_cell_length_a 9.971
_cell_length_b 9.971
_cell_length_c 9.971
_cell_angle_alpha 18.43
_cell_angle_beta 18.43
_cell_angle_gamma 18.43
loop_
_symmetry_equiv_pos_as_xyz
'x,y,z'
loop_
_atom_site_label
_atom_site_type_symbol
_atom_site_fract_x
_atom_site_fract_y
_atom_site_fract_z
_atom_site_occupancy
B1 B 0.000 0.000 0.000 1
Sc1 Sc 0.081 0.081 0.081 1
Sc2 Sc 0.919 0.919 0.919 1
Hf1 Hf 0.500 0.500 0.500 1

***

| no. | DOS at the Fermi energy (states/eV/atom) |
| --- | --- |
| 1 | 0.725 |
| 2 | 1.083 |
| 3 | 0.784 |
| 4 | 0.404 |
| 5 | 0.992 |
| 6 | 0.758 |
| 7 | 0.403 |
| 8 | 0.681 |
| 9 | 0.694 |
| 10 | 1.095 |
| 11 | 0.785 |
| 12 | 0.428 |
| 13 | 1.605 |
| 14 | 1.021 |
| 15 | 1.429 |
| 16 | 0.772 |
| 17 | 1.744 |
| 18 | 0.367 |
| 19 | 1.197 |
| 20 | 1.401 |